{
  "formula": "VAs2H4O9",
  "functional": "GGA+U",
  "state": "optimized geometry",
  "spacegroup": "No. 130",
  "e_tot_ev_per_atom": -5.931,
  "magmom_total_mub_per_fu": 1.000,
  "lattice": [[9.3530, 0.0000, 0.0000], [0.0000, 9.3530, 0.0000], [0.0000, 0.0000, 8.1090]],
  "species": ["V", "V", "V", "V", "As", "As", "As", "As", "As", "As", "As", "As", "H", "H", "H", "H", "H", "H", "H", "H", "H", "H", "H", "H", "H", "H", "H", "H", "O", "O", "O", "O", "O", "O", "O", "O", "O", "O", "O", "O", "O", "O", "O", "O", "O", "O", "O", "O", "O", "O", "O", "O", "O", "O", "O", "O", "O", "O", "O", "O", "O", "O", "O", "O"],
  "fractional_positions": [[0.2500, 0.2500, 0.2000], [0.2500, 0.2500, 0.7000], [0.7500, 0.7500, 0.3000], [0.7500, 0.7500, 0.8000], [0.0366, 0.5366, 0.2500], [0.0366, 0.9634, 0.7500], [0.4634, 0.5366, 0.7500], [0.4634, 0.9634, 0.2500], [0.5366, 0.0366, 0.7500], [0.5366, 0.4634, 0.2500], [0.9634, 0.0366, 0.2500], [0.9634, 0.4634, 0.7500], [0.0817, 0.7100, 0.0482], [0.0817, 0.7900, 0.5482], [0.2100, 0.5817, 0.4518], [0.2100, 0.9183, 0.9518], [0.2900, 0.5817, 0.9518], [0.2900, 0.9183, 0.4518], [0.4183, 0.7100, 0.5482], [0.4183, 0.7900, 0.0482], [0.5817, 0.2100, 0.9518], [0.5817, 0.2900, 0.4518], [0.7100, 0.0817, 0.5482], [0.7100, 0.4183, 0.0482], [0.7900, 0.0817, 0.0482], [0.7900, 0.4183, 0.5482], [0.9183, 0.2100, 0.4518], [0.9183, 0.2900, 0.9518], [0.0687, 0.1410, 0.7441], [0.0687, 0.3590, 0.2441], [0.1128, 0.6181, 0.4259], [0.1128, 0.8819, 0.9259], [0.1181, 0.6128, 0.0741], [0.1181, 0.8872, 0.5741], [0.1410, 0.0687, 0.2441], [0.1410, 0.4313, 0.7441], [0.2500, 0.2500, 0.4958], [0.2500, 0.2500, 0.9958], [0.3590, 0.0687, 0.7441], [0.3590, 0.4313, 0.2441], [0.3819, 0.6128, 0.5741], [0.3819, 0.8872, 0.0741], [0.3872, 0.6181, 0.9259], [0.3872, 0.8819, 0.4259], [0.4313, 0.1410, 0.2441], [0.4313, 0.3590, 0.7441], [0.5687, 0.6410, 0.2559], [0.5687, 0.8590, 0.7559], [0.6128, 0.1181, 0.5741], [0.6128, 0.3819, 0.0741], [0.6181, 0.1128, 0.9259], [0.6181, 0.3872, 0.4259], [0.6410, 0.5687, 0.7559], [0.6410, 0.9313, 0.2559], [0.7500, 0.7500, 0.0042], [0.7500, 0.7500, 0.5042], [0.8590, 0.5687, 0.2559], [0.8590, 0.9313, 0.7559], [0.8819, 0.1128, 0.4259], [0.8819, 0.3872, 0.9259], [0.8872, 0.1181, 0.0741], [0.8872, 0.3819, 0.5741], [0.9313, 0.6410, 0.7559], [0.9313, 0.8590, 0.2559]]
}